Entry from the Alexandria database: an optimized crystal structure of Cr2HgPb (PBE).

Output
Energy of formation (eV/f.u.): 3.00
ρ (g/cm³): 9.67

Cell: 4.991 4.991 4.991 Å, 60.00 60.00 60.00°
Fractional positions:
Cr1 0.000 0.000 0.000
Cr2 0.250 0.250 0.250
Hg1 0.750 0.750 0.750
Pb1 0.500 0.500 0.500